No. 1
Material: RbCd2Ag2
Method: DFT, meta-GGA SCAN
State: single point on PBEsol structure

Cell lengths 8.7072, 8.7072, 2.9651 Å; angles 90.00, 90.00, 90.00 degrees
Closest atoms and distances in Å follow each position.
Space group P4/mbm (No. 127)
Symmetry-distinct sites (fractional):
1 Rb 0.0000 0.0000 0.0000 x2  2 Rb 2.97
2 Cd 0.1216 0.3784 0.0000 x4  6 Ag 2.94-2.99, 3 Cd 2.97-3.00
3 Ag 0.1726 0.6726 0.5000 x4  6 Cd 2.94-2.99, 2 Ag 2.97

The volume comes out at 224.8 Å³/cell. The value obtained for the energy of formation from the pure elements is 0.04 eV per formula unit. The calculation puts the density of states at the Fermi level at 3.75 states/eV per cell. The energy above the most stable polymorph in this dataset comes out at 0.0 meV/atom.

=====

No. 2
Material: Cd2ReAg
Method: DFT, meta-GGA SCAN
State: single point on PBEsol structure

Cell lengths 2.8664, 4.9573, 9.6661 Å; angles 90.00, 90.00, 90.00 degrees
Closest atoms and distances in Å follow each position.
Space group Immm (No. 71)
Symmetry-distinct sites (fractional):
1 Cd 0.0000 0.0000 0.2462 x4  2 Ag 2.78, 2 Re 2.84, 6 Cd 2.86-2.87
2 Re 0.0000 0.5000 0.0000 x2  4 Cd 2.84, 4 Ag 2.86, 2 Re 2.87
3 Ag 0.0000 0.5000 0.5000 x2  4 Cd 2.78, 4 Re 2.86, 2 Ag 2.87

The volume comes out at 137.3 Å³/cell. The value obtained for the energy of formation from the pure elements is 2.54 eV per formula unit. The calculation puts the density of states at the Fermi level at 3.41 states/eV per cell. The energy above the most stable polymorph in this dataset comes out at 0.0 meV/atom.

=====

No. 3
Material: CdReAg2
Method: DFT, meta-GGA SCAN
State: single point on PBEsol structure

Cell lengths 4.8858, 4.8858, 2.7679 Å; angles 90.00, 90.00, 90.00 degrees
Closest atoms and distances in Å follow each position.
Space group P4/mmm (No. 123)
Symmetry-distinct sites (fractional):
1 Cd 0.0000 0.0000 0.0000 x1  2 Cd 2.77, 8 Ag 2.81
2 Re 0.5000 0.5000 0.0000 x1  2 Re 2.77, 8 Ag 2.81
3 Ag 0.0000 0.5000 0.5000 x2  2 Ag 2.77, 4 Cd 2.81, 4 Re 2.81

The volume comes out at 66.1 Å³/cell. The value obtained for the energy of formation from the pure elements is 2.61 eV per formula unit. The calculation puts the density of states at the Fermi level at 1.78 states/eV per cell.

=====

No. 4
Material: CdReAg2
Method: DFT, meta-GGA SCAN
State: single point on PBEsol structure

Cell lengths 6.4539, 6.4539, 6.4539 Å; angles 90.00, 90.00, 90.00 degrees
Closest atoms and distances in Å follow each position.
Space group F-43m (No. 216)
Symmetry-distinct sites (fractional):
1 Cd 0.0000 0.0000 0.0000 x4  4 Re 2.79, 4 Ag 2.79
2 Re 0.2500 0.2500 0.7500 x4  4 Ag 2.79, 4 Cd 2.79
3 Ag 0.0000 0.0000 0.5000 x4  4 Re 2.79, 4 Ag 2.79
4 Ag 0.2500 0.2500 0.2500 x4  4 Cd 2.79, 4 Ag 2.79

The volume comes out at 268.8 Å³/cell. The value obtained for the energy of formation from the pure elements is 3.39 eV per formula unit. The calculation puts the density of states at the Fermi level at 5.43 states/eV per cell.

=====

No. 5
Material: Cd2ReAg
Method: DFT, meta-GGA SCAN
State: single point on PBEsol structure

Cell lengths 4.1306, 4.1306, 8.0890 Å; angles 90.00, 90.00, 90.00 degrees
Closest atoms and distances in Å follow each position.
Space group I4/mmm (No. 139)
Symmetry-distinct sites (fractional):
1 Cd 0.0000 0.5000 0.2500 x4  4 Re 2.89, 4 Ag 2.89, 4 Cd 2.92
2 Re 0.0000 0.0000 0.0000 x2  8 Cd 2.89, 4 Ag 2.92
3 Ag 0.0000 0.0000 0.5000 x2  8 Cd 2.89, 4 Re 2.92

The volume comes out at 138.0 Å³/cell. The value obtained for the energy of formation from the pure elements is 3.13 eV per formula unit. The calculation puts the density of states at the Fermi level at 3.44 states/eV per cell. The energy above the most stable polymorph in this dataset comes out at 146.5 meV/atom.

=====

No. 6
Material: CdReAg2
Method: DFT, meta-GGA SCAN
State: single point on PBEsol structure

Cell lengths 5.6612, 8.6854, 2.6647 Å; angles 90.00, 90.00, 90.00 degrees
Closest atoms and distances in Å follow each position.
Space group Cmmm (No. 65)
Symmetry-distinct sites (fractional):
1 Cd 0.0000 0.0000 0.0000 x2  2 Cd 2.66, 2 Re 2.83, 8 Ag 2.91
2 Re 0.0000 0.5000 0.0000 x2  2 Re 2.66, 2 Cd 2.83, 8 Ag 2.91
3 Ag 0.2500 0.2500 0.5000 x4  4 Ag 2.66-2.83, 4 Cd 2.91, 4 Re 2.91

The volume comes out at 131.0 Å³/cell. The value obtained for the energy of formation from the pure elements is 2.16 eV per formula unit. The calculation puts the density of states at the Fermi level at 3.03 states/eV per cell.

=====

No. 7
Material: CdAg2Ru
Method: DFT, meta-GGA SCAN
State: single point on PBEsol structure

Cell lengths 2.8272, 4.8197, 9.5877 Å; angles 90.00, 90.00, 90.00 degrees
Closest atoms and distances in Å follow each position.
Space group Imm2 (No. 44)
Symmetry-distinct sites (fractional):
1 Cd 0.0000 0.0000 0.0000 x2  2 Ru 2.78, 6 Ag 2.79-2.80, 2 Cd 2.83
2 Ag 0.0000 0.0000 0.4979 x2  2 Ru 2.76, 4 Ag 2.78-2.83, 4 Cd 2.79
3 Ag 0.0000 0.5000 0.2473 x2  4 Ag 2.78-2.83, 4 Ru 2.79, 2 Cd 2.80
4 Ru 0.0000 0.5000 0.7502 x2  6 Ag 2.76-2.79, 2 Cd 2.78, 2 Ru 2.83

The volume comes out at 130.6 Å³/cell. The value obtained for the energy of formation from the pure elements is 1.60 eV per formula unit. The calculation puts the density of states at the Fermi level at 4.63 states/eV per cell.

=====

No. 8
Material: Cd2AgRu
Method: DFT, meta-GGA SCAN
State: single point on PBEsol structure

Cell lengths 10.4641, 2.8874, 4.9151 Å; angles 90.00, 113.94, 90.00 degrees
Closest atoms and distances in Å follow each position.
Space group Cm (No. 8)
Symmetry-distinct sites (fractional):
1 Cd 0.0000 0.0000 0.0000 x2  4 Ru 2.82-2.89, 3 Ag 2.82-2.88, 5 Cd 2.89-3.03
2 Cd 0.2386 0.0000 0.5883 x2  3 Ru 2.83-2.86, 4 Ag 2.85-2.86, 5 Cd 2.89-3.03
3 Ag 0.2531 0.5000 0.0999 x2  7 Cd 2.82-2.88, 3 Ru 2.87-3.09, 2 Ag 2.89
4 Ru 0.4929 0.0000 0.5019 x2  7 Cd 2.82-2.89, 3 Ag 2.87-3.09, 2 Ru 2.89

The volume comes out at 135.7 Å³/cell. The value obtained for the energy of formation from the pure elements is 0.86 eV per formula unit. The calculation puts the density of states at the Fermi level at 2.40 states/eV per cell.

=====

No. 9
Material: CdSiAg2Ru
Method: DFT, meta-GGA SCAN
State: single point on PBEsol structure

Cell lengths 4.8929, 4.8929, 4.9692 Å; angles 90.00, 90.00, 90.00 degrees
Closest atoms and distances in Å follow each position.
Space group P4/mmm (No. 123)
Symmetry-distinct sites (fractional):
1 Cd 0.0000 0.0000 0.0000 x1  2 Ru 2.48
2 Si 0.5000 0.5000 0.0000 x1  4 Cd 3.46, 8 Ag 3.49
3 Ag 0.0000 0.5000 0.5000 x2  2 Ru 2.45
4 Ru 0.0000 0.0000 0.5000 x1  4 Ag 2.45, 2 Cd 2.48

The volume comes out at 119.0 Å³/cell. Its uncorrected formation energy is 144.9 kJ per mole of atoms. The calculation puts the density of states at the Fermi level at 4.04 states/eV per cell.

=====

No. 10
Material: Cd2AgSb
Method: DFT, meta-GGA SCAN
State: single point on PBEsol structure

Cell lengths 3.0111, 5.3366, 10.7166 Å; angles 90.00, 90.00, 90.00 degrees
Closest atoms and distances in Å follow each position.
Space group Immm (No. 71)
Symmetry-distinct sites (fractional):
1 Cd 0.0000 0.0000 0.2306 x4  2 Ag 2.89, 6 Cd 3.01-3.09
2 Ag 0.0000 0.5000 0.5000 x2  4 Cd 2.89, 2 Ag 3.01, 4 Sb 3.06
3 Sb 0.0000 0.5000 0.0000 x2  2 Sb 3.01, 4 Ag 3.06, 4 Cd 3.26

The volume comes out at 172.2 Å³/cell. Its uncorrected formation energy is 10.0 kJ per mole of atoms. The calculation puts the density of states at the Fermi level at 2.76 states/eV per cell. The energy above the most stable polymorph in this dataset comes out at 0.0 meV/atom.

=====

No. 11
Material: Cd2AgSb
Method: DFT, meta-GGA SCAN
State: single point on PBEsol structure

Cell lengths 7.0221, 7.0221, 7.0221 Å; angles 90.00, 90.00, 90.00 degrees
Closest atoms and distances in Å follow each position.
Space group F-43m (No. 216)
Symmetry-distinct sites (fractional):
1 Cd 0.0000 0.0000 0.0000 x4  4 Cd 3.04, 4 Ag 3.04
2 Cd 0.2500 0.2500 0.2500 x4  4 Cd 3.04, 4 Sb 3.04
3 Ag 0.2500 0.2500 0.7500 x4  4 Cd 3.04, 4 Sb 3.04
4 Sb 0.0000 0.0000 0.5000 x4  4 Cd 3.04, 4 Ag 3.04

The volume comes out at 346.3 Å³/cell. Its uncorrected formation energy is 14.1 kJ per mole of atoms. The calculation puts the density of states at the Fermi level at 2.91 states/eV per cell. The energy above the most stable polymorph in this dataset comes out at 42.2 meV/atom.

=====

No. 12
Material: ScCd2Ag
Method: DFT, meta-GGA SCAN
State: single point on PBEsol structure

Cell lengths 9.6149, 3.1806, 5.2527 Å; angles 90.00, 100.70, 90.00 degrees
Closest atoms and distances in Å follow each position.
Space group Cm (No. 8)
Symmetry-distinct sites (fractional):
1 Sc 0.0000 0.0000 0.0000 x2  3 Ag 2.90-2.92, 7 Cd 2.98-3.12, 2 Sc 3.18
2 Cd 0.0064 0.5000 0.5124 x2  5 Cd 2.90-3.18, 3 Ag 2.97-3.01, 4 Sc 3.02-3.12
3 Cd 0.2545 0.5000 0.2724 x2  5 Cd 2.90-3.18, 3 Sc 2.98-3.04, 4 Ag 3.06-3.08
4 Ag 0.2531 0.0000 0.7737 x2  3 Sc 2.90-2.92, 7 Cd 2.97-3.08, 2 Ag 3.18

The volume comes out at 157.8 Å³/cell. The value obtained for the energy of formation from the pure elements is -0.72 eV per formula unit. The calculation puts the density of states at the Fermi level at 3.46 states/eV per cell.